Compound: VGaN3
Source: Alexandria via LeMat-Bulk
Functional: PBE
Structure: relaxed

Results
- E (eV per atom) = -6.039
- mass density (Mg/m³) = 4.878
- formation energy without anion corrections (meV per atom) = 1385.4
- volume (Å³ per atom) = 11.08
- density of states at the Fermi level (states/eV per atom) = 1.17

Cell and atoms, written as CIF:
```
data_VGaN3
_chemical_formula_sum 'V1 Ga1 N3'
_symmetry_space_group_name_H-M 'P m -3 m'
_symmetry_Int_Tables_number 221
_symmetry_space_group_name_Hall '-P 4 2 3'
_cell_length_a 3.8117
_cell_length_b 3.8117
_cell_length_c 3.8117
_cell_angle_alpha 90.00
_cell_angle_beta 90.00
_cell_angle_gamma 90.00
loop_
_atom_site_label
_atom_site_type_symbol
_atom_site_fract_x
_atom_site_fract_y
_atom_site_fract_z
V1 V 0.0000 0.0000 0.0000
Ga1 Ga 0.5000 0.5000 0.5000
N1 N 0.0000 0.5000 0.5000
```